Model one:
A plane-wave DFT calculation with PBE-GGA was carried out for an optimized crystal structure of AgPb3Se.

For the density of states at the Fermi level, the calculation gives 0.417 states/eV/atom. The magnetization is 0.000 μB/atom.

It has space group Pm-3m (No. 221), with a = 5.479 Å, b = 5.479 Å, c = 5.479 Å, α = 90.00°, β = 90.00° and γ = 90.00°. The distinct sites, in fractional coordinates, are Ag at (0.000, 0.000, 0.000), Pb at (0.000, 0.000, 0.500) and Se at (0.500, 0.500, 0.500).


Model two:
A plane-wave DFT calculation with PBE-GGA was carried out for an optimized crystal structure of AgPb3Se.

For the density of states at the Fermi level, the calculation gives 0.613 states/eV/atom. The magnetization is 0.000 μB/atom.

It has space group Pm-3m (No. 221), with a = 5.688 Å, b = 5.688 Å, c = 5.688 Å, α = 90.00°, β = 90.00° and γ = 90.00°. The distinct sites, in fractional coordinates, are Ag at (0.000, 0.000, 0.000), Pb at (0.000, 0.500, 0.500) and Se at (0.500, 0.500, 0.500).


The most stable arrangement is model one, and the next structure is 73 meV/atom less stable.


Model one:
A plane-wave DFT calculation with PBE-GGA was carried out for an optimized crystal structure of Ag2Pb2Se.

For the density of states at the Fermi level, the calculation gives 0.368 states/eV/atom. The magnetization is 0.000 μB/atom.

It has space group P4/mbm (No. 127), with a = 8.692 Å, b = 8.692 Å, c = 3.367 Å, α = 90.00°, β = 90.00° and γ = 90.00°. The distinct sites, in fractional coordinates, are Ag at (0.111, 0.389, 0.000), Pb at (0.190, 0.690, 0.500) and Se at (0.000, 0.000, 0.500).


Model two:
A plane-wave DFT calculation with PBE-GGA was carried out for an optimized crystal structure of Ag2Pb2Se.

For the density of states at the Fermi level, the calculation gives 0.248 states/eV/atom. The magnetization is 0.000 μB/atom.

It has space group P4/mbm (No. 127), with a = 7.414 Å, b = 7.414 Å, c = 4.512 Å, α = 90.00°, β = 90.00° and γ = 90.00°. The distinct sites, in fractional coordinates, are Ag at (0.133, 0.367, 0.000), Pb at (0.166, 0.666, 0.500) and Se at (0.000, 0.000, 0.000).


The most stable arrangement is model two, and the next structure is 103 meV/atom less stable.


Model one:
A plane-wave DFT calculation with PBE-GGA was carried out for an optimized crystal structure of Ag2Sn2Pb.

For the density of states at the Fermi level, the calculation gives 0.404 states/eV/atom. The magnetization is 0.000 μB/atom.

It has space group P4/mbm (No. 127), with a = 8.488 Å, b = 8.488 Å, c = 3.389 Å, α = 90.00°, β = 90.00° and γ = 90.00°. The distinct sites, in fractional coordinates, are Ag at (0.126, 0.374, 0.000), Sn at (0.168, 0.668, 0.500) and Pb at (0.000, 0.000, 0.000).


Model two:
A plane-wave DFT calculation with PBE-GGA was carried out for an optimized crystal structure of Ag2Sn2Pb.

For the density of states at the Fermi level, the calculation gives 0.412 states/eV/atom. The magnetization is 0.000 μB/atom.

It has space group I4/mmm (No. 139), with a = 4.468 Å, b = 4.468 Å, c = 12.816 Å, α = 90.00°, β = 90.00° and γ = 90.00°. The distinct sites, in fractional coordinates, are Ag at (0.000, 0.500, 0.250), Sn at (0.000, 0.000, 0.112) and Pb at (0.000, 0.000, 0.500).


The most stable arrangement is model one, and the next structure is 23 meV/atom less stable.


Model one:
A plane-wave DFT calculation with PBE-GGA was carried out for an optimized crystal structure of AgSn2Pb8.

For the density of states at the Fermi level, the calculation gives 0.408 states/eV/atom. The magnetization is 0.000 μB/atom.

It has space group C2/m (No. 12), with a = 18.295 Å, b = 4.631 Å, c = 7.988 Å, α = 90.00°, β = 105.79° and γ = 90.00°. The distinct sites, in fractional coordinates, are Ag at (0.000, 0.000, 0.000), Sn at (0.231, 0.500, 0.634), Pb at (0.040, 0.500, 0.743), Pb at (0.094, 0.000, 0.462), Pb at (0.132, 0.500, 0.176) and Pb at (0.181, 0.000, 0.906).


Model two:
A plane-wave DFT calculation with PBE-GGA was carried out for an optimized crystal structure of AgSn2Pb8.

For the density of states at the Fermi level, the calculation gives 0.471 states/eV/atom. The magnetization is 0.000 μB/atom.

It has space group C2/m (No. 12), with a = 14.124 Å, b = 8.550 Å, c = 5.958 Å, α = 90.00°, β = 103.36° and γ = 90.00°. The distinct sites, in fractional coordinates, are Ag at (0.000, 0.000, 0.000), Sn at (0.112, 0.000, 0.474), Pb at (0.068, 0.291, 0.785), Pb at (0.143, 0.500, 0.366) and Pb at (0.226, 0.000, 0.047).


The most stable arrangement is model one, and the next structure is 60 meV/atom less stable.


Model one:
A plane-wave DFT calculation with PBE-GGA was carried out for an optimized crystal structure of SrAgPb3.

For the density of states at the Fermi level, the calculation gives 0.389 states/eV/atom. The magnetization is 0.000 μB/atom.

It has space group P1 (No. 1), with a = 6.641 Å, b = 6.881 Å, c = 6.913 Å, α = 90.03°, β = 90.00° and γ = 90.01°. The distinct sites, in fractional coordinates, are Sr at (0.000, 0.000, 0.000), Sr at (0.447, 0.501, 0.500), Ag at (0.633, 0.998, 0.687), Ag at (0.814, 0.498, 0.187), Pb at (0.097, 0.500, 0.879), Pb at (0.349, 0.001, 0.379), Pb at (0.501, 0.253, 0.002), Pb at (0.501, 0.746, 0.004), Pb at (0.945, 0.246, 0.504) and Pb at (0.946, 0.753, 0.503).


Model two:
A plane-wave DFT calculation with PBE-GGA was carried out for an optimized crystal structure of SrAgPb3.

For the density of states at the Fermi level, the calculation gives 0.522 states/eV/atom. The magnetization is 0.000 μB/atom.

It has space group Pm-3m (No. 221), with a = 5.606 Å, b = 5.606 Å, c = 5.606 Å, α = 90.00°, β = 90.00° and γ = 90.00°. The distinct sites, in fractional coordinates, are Sr at (0.000, 0.000, 0.000), Ag at (0.500, 0.500, 0.500) and Pb at (0.000, 0.500, 0.500).


The most stable arrangement is model one, and the next structure is 213 meV/atom less stable.


Model one:
A plane-wave DFT calculation with PBE-GGA was carried out for an optimized crystal structure of TaAg3Pb.

For the density of states at the Fermi level, the calculation gives 0.966 states/eV/atom. The magnetization is 0.671 μB/atom.

It has space group Pm-3m (No. 221), with a = 5.185 Å, b = 5.185 Å, c = 5.185 Å, α = 90.00°, β = 90.00° and γ = 90.00°. The distinct sites, in fractional coordinates, are Ta at (0.000, 0.000, 0.000), Ag at (0.000, 0.500, 0.500) and Pb at (0.500, 0.500, 0.500).


Model two:
A plane-wave DFT calculation with PBE-GGA was carried out for an optimized crystal structure of TaAg3Pb.

For the density of states at the Fermi level, the calculation gives 1.373 states/eV/atom. The magnetization is 0.000 μB/atom.

It has space group Pm-3m (No. 221), with a = 5.182 Å, b = 5.182 Å, c = 5.182 Å, α = 90.00°, β = 90.00° and γ = 90.00°. The distinct sites, in fractional coordinates, are Ta at (0.000, 0.000, 0.000), Ag at (0.000, 0.000, 0.500) and Pb at (0.500, 0.500, 0.500).


The most stable arrangement is model two, and the next structure is 340 meV/atom less stable.


Model one:
A plane-wave DFT calculation with PBE-GGA was carried out for an optimized crystal structure of TaAgPb3.

For the density of states at the Fermi level, the calculation gives 0.326 states/eV/atom. The magnetization is 0.000 μB/atom.

It has space group Pm-3m (No. 221), with a = 5.512 Å, b = 5.512 Å, c = 5.512 Å, α = 90.00°, β = 90.00° and γ = 90.00°. The distinct sites, in fractional coordinates, are Ta at (0.000, 0.000, 0.000), Ag at (0.500, 0.500, 0.500) and Pb at (0.000, 0.000, 0.500).


Model two:
A plane-wave DFT calculation with PBE-GGA was carried out for an optimized crystal structure of TaAgPb3.

For the density of states at the Fermi level, the calculation gives 1.162 states/eV/atom. The magnetization is 0.000 μB/atom.

It has space group Pm-3m (No. 221), with a = 5.364 Å, b = 5.364 Å, c = 5.364 Å, α = 90.00°, β = 90.00° and γ = 90.00°. The distinct sites, in fractional coordinates, are Ta at (0.000, 0.000, 0.000), Ag at (0.500, 0.500, 0.500) and Pb at (0.000, 0.500, 0.500).


The most stable arrangement is model one, and the next structure is 643 meV/atom less stable.


Model one:
A plane-wave DFT calculation with PBE-GGA was carried out for an optimized crystal structure of TcAg2Pb2.

For the density of states at the Fermi level, the calculation gives 0.502 states/eV/atom. The magnetization is 0.577 μB/atom.

It has space group P4/mbm (No. 127), with a = 7.372 Å, b = 7.372 Å, c = 4.210 Å, α = 90.00°, β = 90.00° and γ = 90.00°. The distinct sites, in fractional coordinates, are Tc at (0.000, 0.000, 0.000), Ag at (0.132, 0.368, 0.000) and Pb at (0.177, 0.677, 0.500).


Model two:
A plane-wave DFT calculation with PBE-GGA was carried out for an optimized crystal structure of TcAg2Pb2.

For the density of states at the Fermi level, the calculation gives 0.546 states/eV/atom. The magnetization is 0.720 μB/atom.

It has space group I4/mmm (No. 139), with a = 4.434 Å, b = 4.434 Å, c = 12.986 Å, α = 90.00°, β = 90.00° and γ = 90.00°. The distinct sites, in fractional coordinates, are Tc at (0.000, 0.000, 0.000), Ag at (0.000, 0.000, 0.401) and Pb at (0.000, 0.500, 0.250).


The most stable arrangement is model one, and the next structure is 326 meV/atom less stable.


Model one:
A plane-wave DFT calculation with PBE-GGA was carried out for an optimized crystal structure of ThAgPb2.

For the density of states at the Fermi level, the calculation gives 1.217 states/eV/atom. The magnetization is 0.000 μB/atom.

It has space group R-3m (No. 166, hexagonal axes), with a = 5.1943 Å, b = 5.1943 Å, c = 23.4786 Å, α = 90.00°, β = 90.00° and γ = 120.00°. The distinct sites, in fractional coordinates, are Th at (0.0000, 0.0000, 0.0000), Ag at (0.0000, 0.0000, 0.5000) and Pb at (0.0000, 0.0000, 0.3823).


Model two:
A plane-wave DFT calculation with PBE-GGA was carried out for an optimized crystal structure of ThAgPb2.

For the density of states at the Fermi level, the calculation gives 0.952 states/eV/atom. The magnetization is 0.000 μB/atom.

It has space group P4/mmm (No. 123), with a = 4.847 Å, b = 4.847 Å, c = 4.609 Å, α = 90.00°, β = 90.00° and γ = 90.00°. The distinct sites, in fractional coordinates, are Th at (0.000, 0.000, 0.000), Ag at (0.500, 0.500, 0.000) and Pb at (0.000, 0.500, 0.500).


The most stable arrangement is model two, and the next structure is 816 meV/atom less stable.


Model one:
A plane-wave DFT calculation with PBE-GGA was carried out for an optimized crystal structure of TiAgPb2.

For the density of states at the Fermi level, the calculation gives 1.132 states/eV/atom. The magnetization is 0.000 μB/atom.

It has space group I-42d (No. 122), with a = 7.793 Å, b = 7.793 Å, c = 6.435 Å, α = 90.00°, β = 90.00° and γ = 90.00°. The distinct sites, in fractional coordinates, are Ti at (0.000, 0.000, 0.000), Ag at (0.000, 0.000, 0.500) and Pb at (0.243, 0.750, 0.625).


Model two:
A plane-wave DFT calculation with PBE-GGA was carried out for an optimized crystal structure of TiAgPb2.

For the density of states at the Fermi level, the calculation gives 0.788 states/eV/atom. The magnetization is 0.352 μB/atom.

It has space group P4/mmm (No. 123), with a = 3.682 Å, b = 3.682 Å, c = 6.787 Å, α = 90.00°, β = 90.00° and γ = 90.00°. The distinct sites, in fractional coordinates, are Ti at (0.000, 0.000, 0.000), Ag at (0.000, 0.000, 0.500) and Pb at (0.500, 0.500, 0.245).


Model three:
A plane-wave DFT calculation with PBE-GGA was carried out for an optimized crystal structure of TiAgPb2.

For the density of states at the Fermi level, the calculation gives 0.849 states/eV/atom. The magnetization is 0.113 μB/atom.

It has space group R-3m (No. 166, hexagonal axes), with a = 3.2844 Å, b = 3.2844 Å, c = 31.8196 Å, α = 90.00°, β = 90.00° and γ = 120.00°. The distinct sites, in fractional coordinates, are Ti at (0.0000, 0.0000, 0.0000), Ag at (0.0000, 0.0000, 0.5000) and Pb at (0.0000, 0.0000, 0.0895).


Model four:
A plane-wave DFT calculation with PBE-GGA was carried out for an optimized crystal structure of TiAgPb2.

For the density of states at the Fermi level, the calculation gives 1.236 states/eV/atom. The magnetization is 0.423 μB/atom.

It has space group Fm-3m (No. 225), with a = 7.200 Å, b = 7.200 Å, c = 7.200 Å, α = 90.00°, β = 90.00° and γ = 90.00°. The distinct sites, in fractional coordinates, are Ti at (0.000, 0.000, 0.000), Ag at (0.000, 0.000, 0.500) and Pb at (0.250, 0.250, 0.250).


The most stable arrangement is model two, and the next structure is 63 meV/atom less stable.


Model one:
A plane-wave DFT calculation with PBE-GGA was carried out for an optimized crystal structure of TiAg2Pb2.

For the density of states at the Fermi level, the calculation gives 0.689 states/eV/atom. The magnetization is 0.000 μB/atom.

It has space group P4/mbm (No. 127), with a = 7.344 Å, b = 7.344 Å, c = 4.259 Å, α = 90.00°, β = 90.00° and γ = 90.00°. The distinct sites, in fractional coordinates, are Ti at (0.000, 0.000, 0.000), Ag at (0.132, 0.368, 0.000) and Pb at (0.178, 0.678, 0.500).


Model two:
A plane-wave DFT calculation with PBE-GGA was carried out for an optimized crystal structure of TiAg2Pb2.

For the density of states at the Fermi level, the calculation gives 0.745 states/eV/atom. The magnetization is 0.000 μB/atom.

It has space group P4/mbm (No. 127), with a = 8.131 Å, b = 8.131 Å, c = 3.488 Å, α = 90.00°, β = 90.00° and γ = 90.00°. The distinct sites, in fractional coordinates, are Ti at (0.000, 0.000, 0.000), Ag at (0.129, 0.371, 0.500) and Pb at (0.171, 0.671, 0.000).


The most stable arrangement is model one, and the next structure is 27 meV/atom less stable.